[1]
Below is a relaxed structure of Tb6HoSc3, with properties calculated at the PBE-GGA level.

abc: 6.203 10.662 10.662
angles: 121.73 90.00 90.00
Sites, in units of the cell vectors:
Tb: 0.860 0.962 0.556
Tb: 0.538 0.296 0.368
Sc: 0.120 0.385 0.615
Tb: 0.356 0.954 0.046
Sc: 0.427 0.307 0.076
Tb: 0.360 0.038 0.444
Sc: 0.427 0.924 0.693
Tb: 0.538 0.632 0.704
Sc: 0.620 0.615 0.385
Ho: 0.687 0.789 0.211
Tb: 0.172 0.698 0.302
Sc: 0.927 0.693 0.924
Tb: 0.856 0.046 0.954
Tb: 0.038 0.368 0.296
Tb: 0.038 0.704 0.632
Tb: 0.860 0.444 0.038
Sc: 0.927 0.076 0.307
Tb: 0.360 0.556 0.962
Ho: 0.187 0.211 0.789
Tb: 0.672 0.302 0.698

## Properties
DOS(E_F) = 1.356 states/eV per atom
Total DFT energy (no corrections) = -4.97 eV/atom
Magnetic moment = 0.0 μB/f.u.
Energy of formation = 0.168 eV/atom

***

[2]
Below is a relaxed structure of MnPIr2, with properties calculated at the PBE-GGA level.

abc: 4.291 4.291 4.291
angles: 60.00 60.00 60.00
Sites, in units of the cell vectors:
Ir: 0.000 0.000 0.000
Mn: 0.500 0.500 0.500
P: 0.250 0.250 0.250
Ir: 0.750 0.750 0.750

## Properties
DOS(E_F) = 1.255 states/eV per atom
Total DFT energy (no corrections) = -7.81 eV/atom
Magnetic moment = 2.6 μB/f.u.
Energy of formation = 0.261 eV/atom

***

[3]
Below is a relaxed structure of SmMg3Ru, with properties calculated at the PBE-GGA level.

abc: 5.397 5.948 7.794
angles: 90.00 114.93 90.00
Sites, in units of the cell vectors:
Sm: 0.710 0.948 0.869
Mg: 0.724 0.696 0.487
Mg: 0.155 0.948 0.398
Mg: 0.310 0.699 0.074
Ru: 0.146 0.948 0.748
Mg: 0.724 0.199 0.487
Sm: 0.324 0.448 0.692
Ru: 0.888 0.448 0.813
Mg: 0.310 0.196 0.074
Mg: 0.880 0.448 0.162

## Properties
DOS(E_F) = 0.690 states/eV per atom
Total DFT energy (no corrections) = -3.89 eV/atom
Magnetic moment = 0.0 μB/f.u.
Energy of formation = -0.130 eV/atom

***

[4]
Below is a relaxed structure of MgTaTi2Pb, with properties calculated at the PBE-GGA level.

abc: 5.092 5.234 5.092
angles: 90.00 90.00 90.00
Sites, in units of the cell vectors:
Pb: 0.000 0.000 0.000
Mg: 0.500 0.500 0.500
Ti: 0.000 0.000 0.500
Ti: 0.500 0.000 0.000
Ta: 0.000 0.500 0.000

## Properties
DOS(E_F) = 0.883 states/eV per atom
Total DFT energy (no corrections) = -5.13 eV/atom
Magnetic moment = 1.0 μB/f.u.
Energy of formation = 1.460 eV/atom

***

[5]
Below is a relaxed structure of KSm2Ag2Se4, with properties calculated at the PBE-GGA level.

abc: 3.935 7.977 8.280
angles: 114.84 90.00 104.28
Sites, in units of the cell vectors:
Ag: 0.692 0.385 0.032
Sm: 0.128 0.255 0.561
Se: 0.784 0.568 0.709
Se: 0.529 0.059 0.713
K: 0.000 0.000 0.000
Ag: 0.308 0.615 0.968
Sm: 0.872 0.745 0.439
Se: 0.216 0.432 0.291
Se: 0.471 0.941 0.287

## Properties
DOS(E_F) = 0.374 states/eV per atom
Formation energy (no corrections) = -108.0 kJ per mole of atoms
Total DFT energy (no corrections) = -4.47 eV/atom
Magnetic moment = 0.0 μB/f.u.

***

[6]
Below is a relaxed structure of MnTeWN2, with properties calculated at the PBE-GGA level.

abc: 3.938 3.938 5.736
angles: 90.00 90.00 90.00
Sites, in units of the cell vectors:
W: 0.000 0.000 0.000
Te: 0.000 0.000 0.500
Mn: 0.500 0.500 0.500
N: 0.000 0.500 0.000
N: 0.500 0.000 0.000

## Properties
Relative energy among the computed polymorphs = 0 meV/atom
DOS(E_F) = 0.384 states/eV per atom
Formation energy (no corrections) = 42.8 kJ per mole of atoms
Total DFT energy (no corrections) = -7.94 eV/atom
Magnetic moment = 4.6 μB/f.u.

***

[7]
Below is a relaxed structure of Al2RuCS, with properties calculated at the PBE-GGA level.

abc: 4.816 3.806 4.816
angles: 90.00 90.00 90.00
Sites, in units of the cell vectors:
C: 0.000 0.500 0.000
Al: 0.000 0.000 0.500
Al: 0.500 0.000 0.000
S: 0.500 0.500 0.500
Ru: 0.000 0.000 0.000

## Properties
DOS(E_F) = 0.679 states/eV per atom
Formation energy (no corrections) = 48.9 kJ per mole of atoms
Total DFT energy (no corrections) = -5.52 eV/atom
Magnetic moment = 0.0 μB/f.u.

***

[8]
Below is a relaxed structure of Nd2TmGe3, with properties calculated at the PBE-GGA level.

abc: 4.268 5.981 7.280
angles: 114.26 107.05 90.00
Sites, in units of the cell vectors:
Nd: 0.330 0.830 0.661
Ge: 0.000 0.000 0.000
Ge: 0.342 0.342 0.684
Nd: 0.670 0.170 0.339
Tm: 0.000 0.500 0.000
Ge: 0.658 0.658 0.316

## Properties
DOS(E_F) = 0.814 states/eV per atom
Total DFT energy (no corrections) = -5.28 eV/atom
Magnetic moment = 0.0 μB/f.u.
Energy of formation = -0.633 eV/atom

***

[9]
Below is a relaxed structure of ReSbIO2, with properties calculated at the PBE-GGA level.

abc: 4.018 4.018 6.932
angles: 90.00 90.00 90.00
Sites, in units of the cell vectors:
I: 0.000 0.000 0.500
Sb: 0.000 0.000 0.000
O: 0.000 0.500 0.000
O: 0.500 0.000 0.000
Re: 0.500 0.500 0.500

## Properties
Relative energy among the computed polymorphs = 652 meV/atom
DOS(E_F) = 0.382 states/eV per atom
Formation energy (no corrections) = 55.4 kJ per mole of atoms
Total DFT energy (no corrections) = -5.03 eV/atom
Magnetic moment = 3.5 μB/f.u.

***

[10]
Below is a relaxed structure of LaAlCd2Pd4, with properties calculated at the PBE-GGA level.

abc: 4.682 4.682 8.425
angles: 73.87 73.87 60.00
Sites, in units of the cell vectors:
Cd: 0.247 0.247 0.260
Pd: 0.604 0.604 0.188
La: 0.000 0.000 0.000
Pd: 0.869 0.869 0.393
Al: 0.500 0.500 0.500
Pd: 0.396 0.396 0.812
Cd: 0.753 0.753 0.740
Pd: 0.131 0.131 0.607

## Properties
DOS(E_F) = 0.514 states/eV per atom
Total DFT energy (no corrections) = -4.50 eV/atom
Magnetic moment = 0.0 μB/f.u.
Energy of formation = -0.595 eV/atom

***

[11]
Below is a relaxed structure of Re3Pb, with properties calculated at the PBE-GGA level.

abc: 4.682 4.682 3.079
angles: 90.00 90.00 90.00
Sites, in units of the cell vectors:
Pb: 0.000 0.000 0.000
Re: 0.000 0.500 0.500
Re: 0.500 0.500 0.000
Re: 0.500 0.000 0.500

## Properties
Relative energy among the computed polymorphs = 410 meV/atom
DOS(E_F) = 0.879 states/eV per atom
Total DFT energy (no corrections) = -9.22 eV/atom
Magnetic moment = 0.0 μB/f.u.
Energy of formation = 1.040 eV/atom

***

[12]
Below is a relaxed structure of Co6NiPt5, with properties calculated at the PBE-GGA level.

abc: 3.759 7.011 7.011
angles: 106.95 105.48 105.48
Sites, in units of the cell vectors:
Co: 0.752 0.917 0.588
Co: 0.248 0.083 0.412
Co: 0.248 0.412 0.083
Pt: 0.500 0.500 0.500
Pt: 0.000 0.669 0.331
Pt: 0.500 0.159 0.841
Pt: 0.000 0.331 0.669
Pt: 0.500 0.841 0.159
Co: 0.252 0.753 0.753
Ni: 0.000 0.000 0.000
Co: 0.752 0.588 0.917
Co: 0.748 0.247 0.247

## Properties
DOS(E_F) = 1.161 states/eV per atom
Total DFT energy (no corrections) = -6.63 eV/atom
Magnetic moment = 13.6 μB/f.u.
Energy of formation = -0.081 eV/atom